NiGeW: optimized geometry, GGA-PBE.

a b c (Å): 12.0157 2.7845 5.1303
angles (deg): 90.00 90.00 90.00
Space group Amm2 (No. 38)
Inequivalent atoms, fractional coordinates:
Ni1 0.1723 0.0000 0.0000 x4
Ge1 0.3227 0.0000 0.6758 x4
W1 0.0000 0.0000 0.6813 x2
W2 0.5000 0.0000 0.0086 x2

Formation enthalpy at 0 K = 0.1535 eV/atom